Zr5TcRu4: optimized geometry, PBE-GGA.

Properties
The calculated formation energy is -0.6068 eV/atom.

Lattice parameters (Å, degrees): 3.279 3.279 16.434 90.00 90.00 90.00
Fractional coordinates of all 10 atoms:
Zr1 0.500 0.500 0.902
Zr2 0.500 0.500 0.500
Zr3 0.500 0.500 0.098
Zr4 0.500 0.500 0.701
Zr5 0.500 0.500 0.299
Tc1 0.000 0.000 0.000
Ru1 0.000 0.000 0.599
Ru2 0.000 0.000 0.202
Ru3 0.000 0.000 0.401
Ru4 0.000 0.000 0.798

Zr6TcRu: optimized geometry, PBE-GGA.

Properties
The calculated formation energy is -0.2484 eV/atom.

Lattice parameters (Å, degrees): 4.672 4.671 8.177 73.40 73.45 90.00
Fractional coordinates of all 8 atoms:
Ru1 0.000 0.000 0.000
Zr1 0.252 0.252 0.495
Zr2 0.392 0.892 0.215
Zr3 0.608 0.108 0.785
Zr4 0.748 0.748 0.505
Zr5 0.108 0.608 0.785
Zr6 0.892 0.392 0.215
Tc1 0.500 0.500 0.000

ZrTcRu: optimized geometry, PBE-GGA.

Properties
The value obtained for the energy above the most stable polymorph in this dataset is 173 meV per atom. The calculated formation energy is -0.1587 eV/atom.

Lattice parameters (Å, degrees): 4.527 7.306 6.390 90.00 90.00 90.00
Fractional coordinates of all 12 atoms:
Tc1 0.250 0.417 0.771
Tc2 0.750 0.583 0.771
Tc3 0.750 0.917 0.271
Tc4 0.250 0.083 0.271
Ru1 0.250 0.087 0.891
Ru2 0.250 0.413 0.391
Ru3 0.750 0.587 0.391
Ru4 0.750 0.913 0.891
Zr1 0.750 0.185 0.588
Zr2 0.250 0.685 0.088
Zr3 0.750 0.315 0.088
Zr4 0.250 0.815 0.588

Zr4TcRu: optimized geometry, PBE-GGA.

Properties
The value obtained for the energy above the most stable polymorph in this dataset is 0 meV per atom. The calculated formation energy is -0.3294 eV/atom.

Lattice parameters (Å, degrees): 3.322 3.322 10.555 90.00 90.00 90.00
Fractional coordinates of all 6 atoms:
Zr1 0.500 0.500 0.850
Zr2 0.000 0.000 0.349
Zr3 0.500 0.500 0.150
Zr4 0.000 0.000 0.651
Tc1 0.000 0.000 0.000
Ru1 0.500 0.500 0.500

ZrTcRu: optimized geometry, PBE-GGA.

Properties
The value obtained for the energy above the most stable polymorph in this dataset is 276 meV per atom. The calculated formation energy is -0.0555 eV/atom.

Lattice parameters (Å, degrees): 5.290 5.287 5.287 144.30 144.31 51.36
Fractional coordinates of all 3 atoms:
Ru1 0.999 0.998 0.000
Tc1 0.335 0.335 0.000
Zr1 0.667 0.667 0.000

ZrTc3Ru: optimized geometry, PBE-GGA.

Properties
The value obtained for the energy above the most stable polymorph in this dataset is 1054 meV per atom. The calculated formation energy is 2.2512 eV/atom.

Lattice parameters (Å, degrees): 4.655 4.655 4.655 90.00 90.00 90.00
Fractional coordinates of all 5 atoms:
Tc1 0.000 0.000 0.500
Tc2 0.500 0.000 0.000
Tc3 0.000 0.500 0.000
Ru1 0.500 0.500 0.500
Zr1 0.000 0.000 0.000

Zr3TcRu2: optimized geometry, PBE-GGA.

Properties
The calculated formation energy is -0.5771 eV/atom.

Lattice parameters (Å, degrees): 3.282 3.282 9.848 90.00 90.00 90.00
Fractional coordinates of all 6 atoms:
Zr1 0.000 0.000 0.000
Zr2 0.000 0.000 0.665
Zr3 0.000 0.000 0.335
Ru1 0.500 0.500 0.164
Ru2 0.500 0.500 0.836
Tc1 0.500 0.500 0.500

ZrTcRu: optimized geometry, PBE-GGA.

Properties
The value obtained for the energy above the most stable polymorph in this dataset is 121 meV per atom. The calculated formation energy is -0.2103 eV/atom.

Lattice parameters (Å, degrees): 4.503 4.503 5.667 90.00 90.00 120.00
Fractional coordinates of all 6 atoms:
Zr1 0.000 0.000 0.811
Zr2 0.333 0.667 0.163
Tc1 0.000 0.000 0.335
Tc2 0.667 0.333 0.463
Ru1 0.667 0.333 0.984
Ru2 0.333 0.667 0.663

ZrTcRu: optimized geometry, PBE-GGA.

Properties
The value obtained for the energy above the most stable polymorph in this dataset is 1144 meV per atom. The calculated formation energy is 0.8130 eV/atom.

Lattice parameters (Å, degrees): 4.356 4.356 4.356 60.00 60.00 60.00
Fractional coordinates of all 3 atoms:
Tc1 0.500 0.500 0.500
Zr1 0.250 0.250 0.250
Ru1 0.000 0.000 0.000

Zr3TcRu: optimized geometry, PBE-GGA.

Properties
The value obtained for the energy above the most stable polymorph in this dataset is 0 meV per atom. The calculated formation energy is 0.7480 eV/atom.

Lattice parameters (Å, degrees): 4.926 4.926 4.926 90.00 90.00 90.00
Site moments in Bohr magnetons follow the coordinates.
Fractional coordinates of all 5 atoms:
Ru1 0.000 0.000 0.000  0.08
Zr1 0.000 0.000 0.500  -0.09
Zr2 0.500 0.000 0.000  -0.27
Zr3 0.000 0.500 0.000  -0.13
Tc1 0.500 0.500 0.500  1.67

ZrTcRu: optimized geometry, PBE-GGA.

Properties
The value obtained for the energy above the most stable polymorph in this dataset is 228 meV per atom. The calculated formation energy is -0.1032 eV/atom.

Lattice parameters (Å, degrees): 5.137 4.641 8.859 90.00 104.65 90.00
Fractional coordinates of all 12 atoms:
Zr1 0.678 0.000 0.364
Zr2 0.322 0.000 0.636
Zr3 0.322 0.500 0.136
Zr4 0.678 0.500 0.864
Ru1 0.844 0.500 0.211
Ru2 0.156 0.500 0.789
Ru3 0.844 0.000 0.711
Ru4 0.156 0.000 0.289
Tc1 0.753 0.000 0.036
Tc2 0.753 0.500 0.536
Tc3 0.247 0.000 0.964
Tc4 0.247 0.500 0.464

Zr2TcRu4: optimized geometry, PBE-GGA.

Properties
The calculated formation energy is 0.7897 eV/atom.

Lattice parameters (Å, degrees): 4.604 4.604 7.335 71.71 71.71 90.00
Fractional coordinates of all 7 atoms:
Zr1 0.636 0.636 0.729
Zr2 0.364 0.364 0.271
Ru1 0.815 0.815 0.371
Ru2 0.185 0.185 0.629
Ru3 0.000 0.500 0.000
Ru4 0.500 0.000 0.000
Tc1 0.000 0.000 0.000

Zr4TcRu: optimized geometry, PBE-GGA.

Properties
The value obtained for the energy above the most stable polymorph in this dataset is 241 meV per atom. The calculated formation energy is -0.0879 eV/atom.

Lattice parameters (Å, degrees): 4.554 4.557 6.430 89.92 89.94 90.00
Fractional coordinates of all 6 atoms:
Zr1 0.001 0.497 0.248
Zr2 0.001 0.498 0.748
Zr3 0.501 0.997 0.248
Zr4 0.502 0.998 0.748
Tc1 0.501 0.497 0.998
Ru1 0.001 0.997 0.498

ZrTcRu: optimized geometry, PBE-GGA.

Properties
The value obtained for the energy above the most stable polymorph in this dataset is 353 meV per atom. The calculated formation energy is 0.0218 eV/atom.

Lattice parameters (Å, degrees): 4.474 4.474 2.861 90.00 90.00 120.00
Fractional coordinates of all 3 atoms:
Ru1 0.000 0.000 0.989
Tc1 0.667 0.333 0.347
Zr1 0.333 0.667 0.664

Zr4TcRu2: optimized geometry, PBE-GGA.

Properties
The calculated formation energy is -0.3481 eV/atom.

Lattice parameters (Å, degrees): 5.638 5.638 5.638 109.84 109.29 109.29
Fractional coordinates of all 7 atoms:
Zr1 0.000 0.500 0.000
Zr2 0.500 0.500 0.500
Zr3 0.000 0.000 0.500
Zr4 0.500 0.000 0.000
Ru1 0.500 0.500 0.000
Ru2 0.500 0.000 0.500
Tc1 0.000 0.000 0.000

ZrTcRu: optimized geometry, PBE-GGA.

Properties
The value obtained for the energy above the most stable polymorph in this dataset is 245 meV per atom. The calculated formation energy is -0.0867 eV/atom.

Lattice parameters (Å, degrees): 4.563 9.561 4.621 90.00 90.00 90.00
Fractional coordinates of all 12 atoms:
Ru1 0.000 0.256 0.250
Ru2 0.500 0.244 0.750
Ru3 0.000 0.744 0.750
Ru4 0.500 0.756 0.250
Zr1 0.500 0.898 0.750
Zr2 0.000 0.398 0.750
Zr3 0.000 0.602 0.250
Zr4 0.500 0.102 0.250
Tc1 0.500 0.561 0.750
Tc2 0.000 0.939 0.250
Tc3 0.500 0.439 0.250
Tc4 0.000 0.061 0.750

ZrTcRu: optimized geometry, PBE-GGA.

Properties
The value obtained for the energy above the most stable polymorph in this dataset is 169 meV per atom. The calculated formation energy is -0.1627 eV/atom.

Lattice parameters (Å, degrees): 3.247 4.470 7.071 90.00 103.27 90.00
Fractional coordinates of all 6 atoms:
Zr1 0.086 0.750 0.172
Zr2 0.914 0.250 0.828
Ru1 0.415 0.750 0.830
Ru2 0.585 0.250 0.170
Tc1 0.253 0.250 0.506
Tc2 0.747 0.750 0.494

ZrTcRu: optimized geometry, PBE-GGA.

Properties
The value obtained for the energy above the most stable polymorph in this dataset is 233 meV per atom. The calculated formation energy is -0.0984 eV/atom.

Lattice parameters (Å, degrees): 5.236 4.429 9.298 90.00 108.14 90.00
Fractional coordinates of all 12 atoms:
Ru1 0.845 0.500 0.866
Ru2 0.155 0.000 0.634
Ru3 0.155 0.500 0.134
Ru4 0.845 0.000 0.366
Tc1 0.259 0.000 0.982
Tc2 0.741 0.500 0.518
Tc3 0.259 0.500 0.482
Tc4 0.741 0.000 0.018
Zr1 0.320 0.000 0.313
Zr2 0.680 0.500 0.187
Zr3 0.321 0.500 0.813
Zr4 0.679 0.000 0.687

Zr2Tc2Ru: optimized geometry, PBE-GGA.

Properties
The calculated formation energy is -0.0299 eV/atom.

Lattice parameters (Å, degrees): 6.494 6.494 4.361 90.00 90.00 90.00
Fractional coordinates of all 10 atoms:
Ru1 0.500 0.500 0.000
Ru2 0.000 0.000 0.000
Tc1 0.133 0.367 0.000
Tc2 0.367 0.867 0.000
Tc3 0.633 0.133 0.000
Tc4 0.867 0.633 0.000
Zr1 0.318 0.182 0.500
Zr2 0.818 0.318 0.500
Zr3 0.182 0.682 0.500
Zr4 0.682 0.818 0.500

Zr3Tc2Ru: optimized geometry, PBE-GGA.

Properties
The calculated formation energy is -0.4596 eV/atom.

Lattice parameters (Å, degrees): 3.282 3.282 9.902 90.00 90.00 90.00
Fractional coordinates of all 6 atoms:
Ru1 0.500 0.500 0.500
Zr1 0.000 0.000 0.667
Zr2 0.000 0.000 0.000
Zr3 0.000 0.000 0.333
Tc1 0.500 0.500 0.832
Tc2 0.500 0.500 0.168

Zr4TcRu: optimized geometry, PBE-GGA.

Properties
The value obtained for the energy above the most stable polymorph in this dataset is 1019 meV per atom. The calculated formation energy is 0.6892 eV/atom.

Lattice parameters (Å, degrees): 5.542 5.542 5.542 60.00 60.00 60.00
Site moments in Bohr magnetons follow the coordinates.
Fractional coordinates of all 6 atoms:
Tc1 0.000 0.000 0.000  0.74
Zr1 0.875 0.375 0.375  -0.05
Zr2 0.375 0.375 0.375  -0.05
Zr3 0.375 0.375 0.875  -0.05
Zr4 0.375 0.875 0.375  -0.05
Ru1 0.750 0.750 0.750  0.58

Te4Ru: optimized geometry, PBE-GGA.

Properties
The value obtained for the uncorrected formation energy is 0.0792 eV per atom. The value obtained for the energy above the most stable polymorph in this dataset is 0 meV per atom.

Lattice parameters (Å, degrees): 6.627 6.627 6.627 94.27 94.27 148.31
Fractional coordinates of all 5 atoms:
Ru1 0.000 0.000 0.000
Te1 0.410 0.283 0.693
Te2 0.283 0.590 0.872
Te3 0.590 0.717 0.307
Te4 0.717 0.410 0.128

TeRu3: optimized geometry, PBE-GGA.

Properties
The value obtained for the uncorrected formation energy is 0.5138 eV per atom. The value obtained for the energy above the most stable polymorph in this dataset is 185 meV per atom.

Lattice parameters (Å, degrees): 4.484 4.484 4.484 60.00 60.00 60.00
Site moments in Bohr magnetons follow the coordinates.
Fractional coordinates of all 4 atoms:
Te1 0.750 0.750 0.750  0.00
Ru1 0.250 0.250 0.250  0.89
Ru2 0.500 0.500 0.500  0.78
Ru3 0.000 0.000 0.000  0.78

TeRu5: optimized geometry, PBE-GGA.

Properties
The value obtained for the uncorrected formation energy is 0.2096 eV per atom. The value obtained for the energy above the most stable polymorph in this dataset is 0 meV per atom.

Lattice parameters (Å, degrees): 6.343 6.343 3.850 90.00 90.00 144.18
Fractional coordinates of all 6 atoms:
Ru1 0.000 0.000 0.500
Ru2 0.180 0.820 0.000
Ru3 0.324 0.676 0.500
Ru4 0.676 0.324 0.500
Ru5 0.820 0.180 0.000
Te1 0.500 0.500 0.000

TeRu3: optimized geometry, PBE-GGA.

Properties
The value obtained for the uncorrected formation energy is 0.3365 eV per atom. The value obtained for the energy above the most stable polymorph in this dataset is 7 meV per atom.

Lattice parameters (Å, degrees): 5.373 5.373 5.373 147.90 128.97 61.58
Fractional coordinates of all 4 atoms:
Ru1 0.955 0.250 0.705
Ru2 0.504 0.522 0.982
Ru3 0.961 0.978 0.982
Te1 0.414 0.750 0.664

TeRu3: optimized geometry, PBE-GGA.

Properties
The value obtained for the uncorrected formation energy is 0.3847 eV per atom. The value obtained for the energy above the most stable polymorph in this dataset is 56 meV per atom.

Lattice parameters (Å, degrees): 3.961 3.961 3.962 90.00 90.00 90.00
Fractional coordinates of all 4 atoms:
Ru1 0.000 0.000 0.000
Ru2 0.500 0.500 0.000
Ru3 0.500 0.000 0.500
Te1 0.000 0.500 0.500

What did we get for electronic total energy? Answer: -9.63; -9.11; -9.56; -9.30; -9.45; -7.53; -9.67; -9.61; -8.58; -8.31; -9.50; -8.43; -9.06; -9.37; -9.36; -9.48; -9.56; -9.50; -9.45; -9.74; -8.28; -4.29; -7.23; -8.04; -7.41; -7.36 eV per atom, in the order shown.